[1]
Computed, not measured: a relaxed SbMo3N crystal at the GGA-PBEsol level of DFT.

Lattice parameters (Å, degrees): 4.138 4.138 4.138 90.00 90.00 90.00
Positions (direct):
1 Sb 0.000 0.000 0.000
2 Mo 0.000 0.500 0.500
3 Mo 0.500 0.000 0.500
4 Mo 0.500 0.500 0.000
5 N 0.500 0.500 0.500

## Properties
* ΔE_f (raw): -0.12 eV/atom
* ρ: 9.93 g cm⁻³

=====

[2]
Computed, not measured: a relaxed Ce2Fe3Rh crystal at the GGA-PBEsol level of DFT.

Lattice parameters (Å, degrees): 5.234 5.234 5.234 55.98 55.98 55.98
Positions (direct):
1 Ce 0.123 0.123 0.123
2 Ce 0.877 0.877 0.877
3 Fe 0.000 0.500 0.500
4 Fe 0.500 0.000 0.500
5 Fe 0.500 0.500 0.000
6 Rh 0.500 0.500 0.500

## Properties
* ΔH_f (0 K): -0.23 eV per atom
* ρ: 9.95 g cm⁻³

=====

[3]
Computed, not measured: a relaxed DyB6 crystal at the GGA-PBEsol level of DFT.

Lattice parameters (Å, degrees): 4.072 4.072 4.072 90.00 90.00 90.00
Positions (direct):
1 Dy 0.000 0.000 0.000
2 B 0.199 0.500 0.500
3 B 0.500 0.199 0.500
4 B 0.500 0.500 0.199
5 B 0.500 0.500 0.801
6 B 0.500 0.801 0.500
7 B 0.801 0.500 0.500

## Properties
* ΔH_f (0 K): -0.41 eV per atom
* ρ: 5.59 g cm⁻³

=====

[4]
Computed, not measured: a relaxed KMn8O16 crystal at the GGA-PBEsol level of DFT.

Lattice parameters (Å, degrees): 5.653 7.023 7.026 87.65 78.39 78.38
Positions (direct):
1 K 0.000 0.000 0.000
2 Mn 0.076 0.181 0.514
3 Mn 0.167 0.514 0.819
4 Mn 0.334 0.483 0.181
5 Mn 0.424 0.819 0.483
6 Mn 0.576 0.181 0.517
7 Mn 0.666 0.517 0.819
8 Mn 0.833 0.486 0.181
9 Mn 0.924 0.819 0.486
10 O 0.021 0.626 0.291
11 O 0.148 0.356 0.047
12 O 0.167 0.709 0.626
13 O 0.172 0.954 0.356
14 O 0.327 0.046 0.643
15 O 0.333 0.294 0.377
16 O 0.350 0.643 0.954
17 O 0.480 0.376 0.707
18 O 0.520 0.624 0.293
19 O 0.650 0.357 0.046
20 O 0.667 0.706 0.623
21 O 0.673 0.954 0.357
22 O 0.828 0.046 0.644
23 O 0.833 0.291 0.374
24 O 0.852 0.644 0.953
25 O 0.979 0.374 0.709

## Properties
* ΔE_f (raw): -1.72 eV/atom
* ρ: 4.56 g cm⁻³

=====

[5]
Computed, not measured: a relaxed Mg16Al12Bi crystal at the GGA-PBEsol level of DFT.

Lattice parameters (Å, degrees): 9.094 9.094 9.094 109.31 109.31 109.31
Positions (direct):
1 Mg 0.000 0.000 0.000
2 Mg 0.284 0.681 0.681
3 Mg 0.316 0.595 0.998
4 Mg 0.316 0.998 0.595
5 Mg 0.344 0.996 0.996
6 Mg 0.392 0.392 0.707
7 Mg 0.392 0.707 0.392
8 Mg 0.595 0.316 0.998
9 Mg 0.595 0.998 0.316
10 Mg 0.681 0.284 0.681
11 Mg 0.681 0.681 0.284
12 Mg 0.707 0.392 0.392
13 Mg 0.996 0.344 0.996
14 Mg 0.996 0.996 0.344
15 Mg 0.998 0.316 0.595
16 Mg 0.998 0.595 0.316
17 Al 0.005 0.630 0.815
18 Al 0.005 0.815 0.630
19 Al 0.172 0.360 0.360
20 Al 0.180 0.180 0.813
21 Al 0.180 0.813 0.180
22 Al 0.360 0.172 0.360
23 Al 0.360 0.360 0.172
24 Al 0.630 0.005 0.815
25 Al 0.630 0.815 0.005
26 Al 0.813 0.180 0.180
27 Al 0.815 0.005 0.630
28 Al 0.815 0.630 0.005
29 Bi 0.658 0.658 0.658

## Properties
* ΔH_f (0 K): 0.00 eV per atom
* ρ: 2.63 g cm⁻³

=====

[6]
Computed, not measured: a relaxed LiVCO3F2 crystal at the GGA-PBEsol level of DFT.

Lattice parameters (Å, degrees): 5.573 6.537 8.933 90.00 90.00 90.00
Positions (direct):
1 Li 0.236 0.250 0.229
2 Li 0.264 0.750 0.729
3 Li 0.736 0.250 0.271
4 Li 0.764 0.750 0.771
5 V 0.029 0.250 0.615
6 V 0.471 0.750 0.115
7 V 0.529 0.250 0.885
8 V 0.971 0.750 0.385
9 C 0.031 0.750 0.052
10 C 0.469 0.250 0.552
11 C 0.531 0.750 0.448
12 C 0.969 0.250 0.948
13 O 0.127 0.750 0.187
14 O 0.191 0.250 0.975
15 O 0.194 0.750 0.950
16 O 0.306 0.250 0.450
17 O 0.309 0.750 0.475
18 O 0.373 0.250 0.687
19 O 0.627 0.750 0.313
20 O 0.691 0.250 0.525
21 O 0.694 0.750 0.550
22 O 0.806 0.250 0.050
23 O 0.809 0.750 0.025
24 O 0.873 0.250 0.813
25 F 0.044 0.536 0.656
26 F 0.044 0.964 0.656
27 F 0.456 0.036 0.156
28 F 0.456 0.464 0.156
29 F 0.544 0.536 0.844
30 F 0.544 0.964 0.844
31 F 0.956 0.036 0.344
32 F 0.956 0.464 0.344

## Properties
* ΔE_f (raw): -2.10 eV/atom
* ρ: 3.18 g cm⁻³